[1]
A relaxed PmGe2Ir crystal, computed with PBE.

E above lowest polymorph, meV per atom: 0
Spin magnetization, μB/f.u.: 0.0
Density of states at the Fermi level, states/eV/f.u.: 1.4
Space group: Immm (71)
ΔE_f, eV/atom: -0.809

a b c (Å): 9.570 9.570 9.570
angles (deg): 153.71 123.98 62.90
Element x y z (fractional)
Pm 0.206 0.206 0.000
Pm 0.242 0.000 0.242
Pm 0.758 0.000 0.758
Pm 0.794 0.794 0.000
Ge 0.077 0.577 0.500
Ge 0.145 0.800 0.346
Ge 0.422 0.422 0.000
Ge 0.454 0.800 0.654
Ge 0.546 0.200 0.346
Ge 0.578 0.578 0.000
Ge 0.855 0.200 0.654
Ge 0.923 0.423 0.500
Ir 0.106 0.354 0.751
Ir 0.397 0.646 0.751
Ir 0.603 0.354 0.249
Ir 0.894 0.646 0.249


[2]
A relaxed Al3Pb crystal, computed with PBE.

Spin magnetization, μB/f.u.: 0.0
Density of states at the Fermi level, states/eV/f.u.: 1.9
Space group: Cmmm (65)
ΔE_f, eV/atom: 0.285

a b c (Å): 5.153 5.153 3.282
angles (deg): 90.00 90.00 102.12
Element x y z (fractional)
Al 0.000 0.000 0.000
Al 0.000 0.500 0.500
Al 0.500 0.000 0.500
Pb 0.500 0.500 0.000


Number 1 is which compound?
PmGe2Ir